[1]
DFT (PBE-GGA) results for an optimized crystal structure of Ho4CoBi2.

Lattice parameters (Å, degrees): 4.9484 4.9484 16.3981 90.00 90.00 90.00
Space group I4/mmm (No. 139)
One atom of each set of equivalent atoms:
Ho 0.0000 0.0000 0.1655 (multiplicity 4)
Ho 0.0000 0.5000 0.0000 (multiplicity 4)
Co 0.0000 0.0000 0.0000 (multiplicity 2)
Bi 0.0000 0.0000 0.3577 (multiplicity 4)

Values from the calculation:
energy = -73.1 eV/cell
energy relative to the elements = -0.479 eV per atom
crystal system = tetragonal
polymorph energy (0 for the lowest one) = 0.026 eV/atom

***

[2]
DFT (PBE-GGA) results for an optimized crystal structure of LaNd3Ho7.

Lattice parameters (Å, degrees): 6.5560 6.6763 8.6790 98.51 99.43 94.83
Space group P-1 (No. 2)
One atom of each set of equivalent atoms:
La 0.0000 0.0000 0.0000 (multiplicity 1)
Nd 0.2950 0.4359 0.3434 (multiplicity 2)
Nd 0.5000 0.0000 0.5000 (multiplicity 1)
Ho 0.0000 0.5000 0.0000 (multiplicity 1)
Ho 0.0541 0.2054 0.6416 (multiplicity 2)
Ho 0.2341 0.7184 0.7184 (multiplicity 2)
Ho 0.4857 0.2403 0.9102 (multiplicity 2)

Values from the calculation:
energy = -50.0 eV/cell
energy relative to the elements = 0.117 eV per atom
crystal system = triclinic
polymorph energy (0 for the lowest one) = 0.000 eV/atom

***

[3]
DFT (PBE-GGA) results for an optimized crystal structure of YbCuS2.

Lattice parameters (Å, degrees): 13.6761 3.9410 6.2554 90.00 90.00 90.00
Space group Pnma (No. 62)
One atom of each set of equivalent atoms:
Yb 0.1359 0.2500 0.0124 (multiplicity 4)
Cu 0.0480 0.7500 0.6280 (multiplicity 4)
S 0.0347 0.7500 0.2539 (multiplicity 4)
S 0.2013 0.7500 0.7609 (multiplicity 4)

Values from the calculation:
energy = -73.9 eV/cell
crystal system = orthorhombic
formation energy from raw total energies = -1.149 eV/atom

***

[4]
DFT (PBE-GGA) results for an optimized crystal structure of Ac2TbPmPr.

Lattice parameters (Å, degrees): 6.5100 8.8967 6.8602 90.00 90.00 90.00
Space group Pmma (No. 51)
One atom of each set of equivalent atoms:
Ac 0.2500 0.2049 0.2091 (multiplicity 4)
Tb 0.0000 0.5000 0.5000 (multiplicity 2)
Pm 0.2500 0.0000 0.6791 (multiplicity 2)
Pr 0.2500 0.5000 0.9145 (multiplicity 2)

Values from the calculation:
energy = -42.3 eV/cell
energy relative to the elements = 0.250 eV per atom
crystal system = orthorhombic

***

[5]
DFT (PBE-GGA) results for an optimized crystal structure of Ac2InAu2.

Lattice parameters (Å, degrees): 8.4193 8.4193 4.1697 90.00 90.00 90.00
Space group P4/mbm (No. 127)
One atom of each set of equivalent atoms:
Ac 0.1753 0.3247 0.0000 (multiplicity 4)
In 0.0000 0.0000 0.5000 (multiplicity 2)
Au 0.1254 0.6254 0.5000 (multiplicity 4)

Values from the calculation:
energy = -42.8 eV/cell
energy relative to the elements = -0.777 eV per atom
crystal system = tetragonal

***

[6]
DFT (PBE-GGA) results for an optimized crystal structure of ScCu3.

Lattice parameters (Å, degrees): 4.8566 4.8566 4.8566 90.00 90.00 90.00
Space group Pm-3n (No. 223)
One atom of each set of equivalent atoms:
Sc 0.0000 0.0000 0.0000 (multiplicity 2)
Cu 0.0000 0.2500 0.5000 (multiplicity 6)

Values from the calculation:
energy = -38.8 eV/cell
energy relative to the elements = -0.198 eV per atom
crystal system = cubic

***

[7]
DFT (PBE-GGA) results for an optimized crystal structure of CdMo2Se.

Lattice parameters (Å, degrees): 5.5529 8.4309 2.9900 90.00 90.00 90.00
Space group Cmmm (No. 65)
One atom of each set of equivalent atoms:
Cd 0.0000 0.0000 0.0000 (multiplicity 2)
Mo 0.2500 0.2500 0.5000 (multiplicity 4)
Se 0.0000 0.5000 0.0000 (multiplicity 2)

Values from the calculation:
energy = -46.5 eV/cell
crystal system = orthorhombic
polymorph energy (0 for the lowest one) = 0.557 eV/atom
formation energy from raw total energies = 0.703 eV/atom

***

[8]
DFT (PBE-GGA) results for an optimized crystal structure of LaTcAsO.

Lattice parameters (Å, degrees): 4.0634 4.0634 9.0334 90.00 90.00 90.00
Space group P4/nmm (No. 129, origin choice 2)
One atom of each set of equivalent atoms:
La 0.2500 0.2500 0.1365 (multiplicity 2)
Tc 0.2500 0.7500 0.5000 (multiplicity 2)
As 0.2500 0.2500 0.6641 (multiplicity 2)
O 0.2500 0.7500 0.0000 (multiplicity 2)

Values from the calculation:
energy = -64.3 eV/cell
crystal system = tetragonal
formation energy from raw total energies = -1.809 eV/atom

***

In order of appearance, density of states at the Fermi level = 11.6, 17.3, 50.0, 13.6, 7.8, 1.2, 7.3, 5.0 states/eV/cell.
In order of appearance, total magnetic moment = 0.00, 0.00, 0.34, 0.00, 0.00, 0.00, 0.00, 0.31 μB/f.u..